No. 1
The following is a PBE calculation of a relaxed structure of CaMn2Cl8, from the Alexandria database.

Results
E, eV per cell: -49.05
Energy relative to the elements, uncorrected, eV/atom: -1.2668
M_tot, Bohr magnetons per cell: 8.0

Cell lengths 6.9732, 7.3554, 7.3578 Å; angles 117.16, 81.28, 98.45 degrees
Closest atoms and distances in Å follow each position.
Element x y z (fractional)
Ca (0.0000, 0.0000, 0.0000)  6 Cl 2.79-2.81
Mn (0.1097, 0.3301, 0.6692)  4 Cl 2.16-2.27
Mn (0.8903, 0.6699, 0.3308)  4 Cl 2.16-2.27
Cl (0.1748, 0.6218, 0.3760)  1 Mn 2.16
Cl (0.8252, 0.3782, 0.6240)  1 Mn 2.16
Cl (0.7240, 0.8107, 0.1912)  1 Mn 2.27
Cl (0.2035, 0.1120, 0.3422)  1 Mn 2.26
Cl (0.2042, 0.6565, 0.8860)  1 Mn 2.26
Cl (0.2760, 0.1893, 0.8088)  1 Mn 2.27
Cl (0.7964, 0.8880, 0.6578)  1 Mn 2.26
Cl (0.7958, 0.3436, 0.1140)  1 Mn 2.26


No. 2
The following is a PBE calculation of a relaxed structure of CaMnCl4, from the Alexandria database.

Results
E, eV per cell: -57.65
Energy relative to the elements, uncorrected, eV/atom: -1.7116
M_tot, Bohr magnetons per cell: 10.0
N(E_F), states/eV/atom: 0.0000
ΔE to the lowest computed polymorph, kJ per mole of atoms: 0.80

Cell lengths 6.3753, 7.2648, 7.2629 Å; angles 113.59, 90.00, 90.00 degrees
Closest atoms and distances in Å follow each position.
Element x y z (fractional)
Ca (0.0000, 0.5000, 0.5000)  6 Cl 2.73-2.77
Ca (0.5000, 0.0000, 0.5000)  6 Cl 2.73-2.77
Mn (0.5000, 0.5000, 0.0000)  6 Cl 2.51-2.64
Mn (0.0000, 0.0000, 0.0000)  6 Cl 2.51-2.64
Cl (0.3121, 0.8395, 0.1247)  2 Mn 2.56-2.64, 1 Ca 2.77
Cl (0.1879, 0.3395, 0.1247)  2 Mn 2.56-2.64, 1 Ca 2.77
Cl (0.6561, 0.6182, 0.3453)  1 Mn 2.51, 2 Ca 2.73-2.75
Cl (0.1561, 0.8818, 0.6547)  1 Mn 2.51, 2 Ca 2.73-2.75
Cl (0.8439, 0.1182, 0.3453)  1 Mn 2.51, 2 Ca 2.73-2.75
Cl (0.3439, 0.3818, 0.6547)  1 Mn 2.51, 2 Ca 2.73-2.75
Cl (0.8121, 0.6605, 0.8753)  2 Mn 2.56-2.64, 1 Ca 2.77
Cl (0.6879, 0.1605, 0.8753)  2 Mn 2.56-2.64, 1 Ca 2.77


No. 3
The following is a PBE calculation of a relaxed structure of CaMnCl4, from the Alexandria database.

Results
E, eV per cell: -28.88
Energy relative to the elements, uncorrected, eV/atom: -1.7199
M_tot, Bohr magnetons per cell: 5.0
N(E_F), states/eV/atom: 0.0000
ΔE to the lowest computed polymorph, kJ per mole of atoms: 0.00

Cell lengths 3.9081, 6.5636, 6.7735 Å; angles 93.19, 90.00, 90.00 degrees
Closest atoms and distances in Å follow each position.
Element x y z (fractional)
Ca (0.5000, 0.0000, 0.5000)  6 Cl 2.73-2.75
Mn (0.0000, 0.0000, 0.0000)  6 Cl 2.55-2.59
Cl (0.0000, 0.7826, 0.6760)  1 Mn 2.55, 2 Ca 2.73
Cl (0.5000, 0.2106, 0.8631)  2 Mn 2.59, 1 Ca 2.75
Cl (0.5000, 0.7894, 0.1369)  2 Mn 2.59, 1 Ca 2.75
Cl (0.0000, 0.2174, 0.3240)  1 Mn 2.55, 2 Ca 2.73


No. 4
The following is a PBE calculation of a relaxed structure of Ca5Mn3Cl16, from the Alexandria database.

Results
E, eV per cell: -112.35
Energy relative to the elements, uncorrected, eV/atom: -1.8870
M_tot, Bohr magnetons per cell: 15.0
N(E_F), states/eV/atom: 0.0000

Cell lengths 7.8280, 7.8280, 12.6216 Å; angles 91.59, 91.59, 60.00 degrees
Closest atoms and distances in Å follow each position.
Element x y z (fractional)
Ca (0.3345, 0.8317, 0.7851)  6 Cl 2.72-2.77
Ca (0.6706, 0.6706, 0.5144)  6 Cl 2.76-2.79
Ca (0.8317, 0.3345, 0.7851)  6 Cl 2.72-2.77
Ca (0.1663, 0.1663, 0.2849)  6 Cl 2.74-2.76
Ca (0.3401, 0.3401, 0.0212)  6 Cl 2.74-2.79
Mn (0.8305, 0.8305, 0.7841)  6 Cl 2.55-2.60
Mn (0.1664, 0.6627, 0.2867)  6 Cl 2.52-2.62
Mn (0.6627, 0.1664, 0.2867)  6 Cl 2.52-2.62
Cl (0.3195, 0.8271, 0.4006)  1 Mn 2.55, 2 Ca 2.75-2.76
Cl (0.5140, 0.5140, 0.6522)  3 Ca 2.72-2.79
Cl (0.6800, 0.6800, 0.9002)  1 Mn 2.55, 2 Ca 2.74
Cl (0.9854, 0.9854, 0.6752)  1 Mn 2.55, 2 Ca 2.73
Cl (0.9856, 0.9856, 0.1810)  2 Mn 2.58, 1 Ca 2.74
Cl (0.8271, 0.3195, 0.4006)  1 Mn 2.55, 2 Ca 2.75-2.76
Cl (0.5225, 0.9751, 0.6635)  1 Mn 2.56, 2 Ca 2.77
Cl (0.9751, 0.5225, 0.6635)  1 Mn 2.56, 2 Ca 2.77
Cl (0.1632, 0.1632, 0.9104)  3 Ca 2.73-2.74
Cl (0.8380, 0.8380, 0.3926)  2 Mn 2.62, 1 Ca 2.78
Cl (0.0298, 0.4987, 0.1640)  1 Mn 2.52, 2 Ca 2.75-2.79
Cl (0.4987, 0.0298, 0.1640)  1 Mn 2.52, 2 Ca 2.75-2.79
Cl (0.3444, 0.3444, 0.3965)  2 Mn 2.59, 1 Ca 2.76
Cl (0.1526, 0.6731, 0.8984)  1 Mn 2.60, 2 Ca 2.75-2.76
Cl (0.4882, 0.4882, 0.1751)  2 Mn 2.62, 1 Ca 2.75
Cl (0.6731, 0.1526, 0.8984)  1 Mn 2.60, 2 Ca 2.75-2.76


No. 5
The following is a PBE calculation of a relaxed structure of CaMn3Cl8, from the Alexandria database.

Results
E, eV per cell: -61.06
Energy relative to the elements, uncorrected, eV/atom: -1.3982
M_tot, Bohr magnetons per cell: 15.0
N(E_F), states/eV/atom: 0.0000

Cell lengths 7.6196, 7.6184, 7.8711 Å; angles 119.55, 90.00, 120.01 degrees
Closest atoms and distances in Å follow each position.
Element x y z (fractional)
Ca (0.0000, 0.0000, 0.0000)  6 Cl 2.72
Mn (0.5000, 0.0000, 0.0000)  6 Cl 2.56-2.59
Mn (0.5000, 0.5000, 0.0000)  6 Cl 2.55-2.59
Mn (0.0000, 0.5000, 0.0000)  6 Cl 2.55-2.59
Cl (0.2612, 0.5224, 0.7874)  3 Mn 2.59
Cl (0.7388, 0.4776, 0.2126)  3 Mn 2.59
Cl (0.2796, 0.0295, 0.7835)  2 Mn 2.55-2.56, 1 Ca 2.72
Cl (0.7500, 0.0295, 0.7835)  2 Mn 2.55-2.56, 1 Ca 2.72
Cl (0.7498, 0.4996, 0.7836)  2 Mn 2.55, 1 Ca 2.72
Cl (0.2502, 0.5004, 0.2164)  2 Mn 2.55, 1 Ca 2.72
Cl (0.2500, 0.9705, 0.2165)  2 Mn 2.55-2.56, 1 Ca 2.72
Cl (0.7204, 0.9705, 0.2165)  2 Mn 2.55-2.56, 1 Ca 2.72


No. 6
The following is a PBE calculation of a relaxed structure of CaMn2Cl, from the Alexandria database.

Results
E, eV per cell: -22.23
Energy relative to the elements, uncorrected, eV/atom: -0.0101
M_tot, Bohr magnetons per cell: 7.7
N(E_F), states/eV/atom: 0.7171
ΔE to the lowest computed polymorph, kJ per mole of atoms: 10.07

Cell lengths 5.9681, 3.2571, 4.4509 Å; angles 90.17, 90.00, 90.00 degrees
Closest atoms and distances in Å follow each position.
Element x y z (fractional)
Ca (0.5000, 0.2500, 0.2500)  4 Cl 2.75-2.76
Mn (0.0000, 0.9855, 0.0124)  4 Mn 2.62-2.91
Mn (0.0000, 0.5145, 0.4876)  4 Mn 2.62-2.91
Cl (0.5000, 0.7500, 0.7500)  4 Ca 2.75-2.76


No. 7
The following is a PBE calculation of a relaxed structure of CaMn2Cl, from the Alexandria database.

Results
E, eV per cell: -20.95
Energy relative to the elements, uncorrected, eV/atom: 0.3084
M_tot, Bohr magnetons per cell: 8.8
N(E_F), states/eV/atom: 1.0301
ΔE to the lowest computed polymorph, kJ per mole of atoms: 40.80

Cell lengths 3.2509, 3.2509, 8.4587 Å; angles 90.00, 90.00, 90.00 degrees
Closest atoms and distances in Å follow each position.
Element x y z (fractional)
Ca (0.5000, 0.5000, 0.2500)  4 Ca 3.25, 8 Mn 3.29
Mn (0.0000, 0.0000, 0.9719)  4 Cl 2.97, 4 Mn 3.25, 4 Ca 3.29
Mn (0.0000, 0.0000, 0.5281)  4 Cl 2.97, 4 Mn 3.25, 4 Ca 3.29
Cl (0.5000, 0.5000, 0.7500)  8 Mn 2.97, 4 Cl 3.25


No. 8
The following is a PBE calculation of a relaxed structure of CaMn2Cl, from the Alexandria database.

Results
E, eV per cell: -21.52
Energy relative to the elements, uncorrected, eV/atom: 0.1665
M_tot, Bohr magnetons per cell: 7.8
N(E_F), states/eV/atom: 0.7509
ΔE to the lowest computed polymorph, kJ per mole of atoms: 27.11

Cell lengths 5.7829, 5.7829, 5.7829 Å; angles 147.47, 119.18, 70.69 degrees
Closest atoms and distances in Å follow each position.
Element x y z (fractional)
Ca (0.4671, 0.4671, 0.0000)  2 Cl 2.81
Mn (0.0183, 0.0183, 0.0000)  2 Cl 2.52, 2 Mn 2.69
Mn (0.7911, 0.2911, 0.5000)  2 Mn 2.69
Cl (0.2235, 0.7235, 0.5000)  2 Mn 2.52, 2 Ca 2.81


No. 9
The following is a PBE calculation of a relaxed structure of Ca4MnCl, from the Alexandria database.

Results
E, eV per cell: -16.67
Energy relative to the elements, uncorrected, eV/atom: 0.3929
M_tot, Bohr magnetons per cell: 4.6
N(E_F), states/eV/atom: 1.1570

Cell lengths 6.9055, 6.9055, 6.9055 Å; angles 60.00, 60.00, 60.00 degrees
Closest atoms and distances in Å follow each position.
Element x y z (fractional)
Ca (0.8792, 0.3736, 0.3736)  6 Ca 3.41-3.49
Ca (0.3736, 0.3736, 0.8792)  6 Ca 3.41-3.49
Ca (0.3736, 0.8792, 0.3736)  6 Ca 3.41-3.49
Ca (0.3736, 0.3736, 0.3736)  6 Ca 3.41-3.49
Mn (0.0000, 0.0000, 0.0000)  12 Ca 4.04, 4 Cl 4.23
Cl (0.7500, 0.7500, 0.7500)  12 Ca 4.05, 4 Mn 4.23


No. 10
The following is a PBE calculation of a relaxed structure of CaMn4Cl, from the Alexandria database.

Results
E, eV per cell: -37.30
Energy relative to the elements, uncorrected, eV/atom: 0.5382
M_tot, Bohr magnetons per cell: 15.1
N(E_F), states/eV/atom: 1.2646

Cell lengths 5.5102, 5.5102, 5.5102 Å; angles 60.00, 60.00, 60.00 degrees
Closest atoms and distances in Å follow each position.
Element x y z (fractional)
Ca (0.7500, 0.7500, 0.7500)  12 Mn 3.22, 4 Cl 3.37
Mn (0.8654, 0.3782, 0.3782)  6 Mn 2.68-2.83
Mn (0.3782, 0.3782, 0.8654)  6 Mn 2.68-2.83
Mn (0.3782, 0.8654, 0.3782)  6 Mn 2.68-2.83
Mn (0.3782, 0.3782, 0.3782)  6 Mn 2.68-2.83
Cl (0.0000, 0.0000, 0.0000)  12 Mn 3.24, 4 Ca 3.37


No. 11
The following is a PBE calculation of a relaxed structure of Ca3MnCl, from the Alexandria database.

Results
E, eV per cell: -15.81
Energy relative to the elements, uncorrected, eV/atom: 0.2418
M_tot, Bohr magnetons per cell: 0.0
N(E_F), states/eV/atom: 0.3569
ΔE to the lowest computed polymorph, kJ per mole of atoms: 0.00

Cell lengths 5.3537, 5.3537, 5.3537 Å; angles 90.00, 90.00, 90.00 degrees
Closest atoms and distances in Å follow each position.
Element x y z (fractional)
Ca (0.0000, 0.5000, 0.0000)  2 Mn 2.68
Ca (0.0000, 0.0000, 0.5000)  2 Mn 2.68
Ca (0.5000, 0.0000, 0.0000)  2 Mn 2.68
Mn (0.0000, 0.0000, 0.0000)  6 Ca 2.68
Cl (0.5000, 0.5000, 0.5000)  12 Ca 3.79


No. 12
The following is a PBE calculation of a relaxed structure of Ca2MnNCl, from the Alexandria database.

Results
E, eV per cell: -20.04
Energy relative to the elements, uncorrected, eV/atom: 0.6606
M_tot, Bohr magnetons per cell: 3.0
N(E_F), states/eV/atom: 0.9402

Cell lengths 5.3121, 4.1383, 5.3121 Å; angles 90.00, 90.00, 90.00 degrees
Closest atoms and distances in Å follow each position.
Element x y z (fractional)
N (0.5000, 0.5000, 0.5000)  8 Ca 3.37, 4 Cl 3.76
Ca (0.0000, 0.0000, 0.5000)  2 Mn 2.66
Ca (0.5000, 0.0000, 0.0000)  2 Mn 2.66
Mn (0.0000, 0.0000, 0.0000)  2 Cl 2.07
Cl (0.0000, 0.5000, 0.0000)  2 Mn 2.07


No. 13
The following is a PBE calculation of a relaxed structure of Ca5MnN4Cl2, from the Alexandria database.

Results
E, eV per cell: -68.78
Energy relative to the elements, uncorrected, eV/atom: -1.0509
M_tot, Bohr magnetons per cell: 3.0
N(E_F), states/eV/atom: 0.2732

Cell lengths 6.0078, 5.4426, 7.7644 Å; angles 90.00, 90.00, 123.50 degrees
Closest atoms and distances in Å follow each position.
Element x y z (fractional)
Ca (0.0794, 0.3788, 0.1916)  3 N 2.33-2.45
Ca (0.5199, 0.0000, 0.5000)  2 N 2.37
Ca (0.0794, 0.3788, 0.8084)  3 N 2.33-2.45
Ca (0.7006, 0.6212, 0.8084)  3 N 2.33-2.45
Ca (0.7006, 0.6212, 0.1916)  3 N 2.33-2.45
Mn (0.4111, 0.0000, 0.0000)  4 N 1.89-1.93
N (0.5999, 0.0000, 0.2017)  1 Mn 1.93
N (0.5999, 0.0000, 0.7983)  1 Mn 1.93
N (0.3594, 0.3121, 0.0000)  1 Mn 1.89
N (0.0472, 0.6879, 0.0000)  1 Mn 1.89
Cl (0.9666, 0.6248, 0.5000)  6 Ca 2.78-3.00
Cl (0.3418, 0.3752, 0.5000)  6 Ca 2.78-3.00